## Th2ScCo (GGA-PBE)

Data for an optimized crystal structure of Th2ScCo.

Results
DOS at the Fermi energy in states/eV per atom: 1.282
DFT total energy in eV per cell: -85.01

Lattice parameters (Å, degrees): 3.7357 3.7357 26.3125 90.00 90.00 120.00
Space group R3m (No. 160, hexagonal axes)
One atom of each set of equivalent atoms:
Th: 0.0000 0.0000 0.0000 (multiplicity 3)
Th: 0.0000 0.0000 0.2070 (multiplicity 3)
Sc: 0.0000 0.0000 0.7721 (multiplicity 3)
Co: 0.0000 0.0000 0.6034 (multiplicity 3)